DFT (PBE) results for an optimized crystal structure of BeTlCoSi.

## Properties
For the energy above the lowest structure with this stoichiometry, the calculation gives 0.0 meV per atom.

abc: 4.326 4.326 4.326
angles: 60.00 60.00 60.00
Fractional positions:
Be1 0.750 0.750 0.750
Co1 0.250 0.250 0.250
Si1 0.000 0.000 0.000
Tl1 0.500 0.500 0.500



DFT (PBE) results for an optimized crystal structure of BeTlCoSi.

## Properties
For the energy above the lowest structure with this stoichiometry, the calculation gives 121.7 meV per atom.

abc: 4.363 4.363 4.363
angles: 60.00 60.00 60.00
Fractional positions:
Be1 0.750 0.750 0.750
Co1 0.000 0.000 0.000
Si1 0.250 0.250 0.250
Tl1 0.500 0.500 0.500



DFT (PBE) results for an optimized crystal structure of YBeCoSi.

## Properties
For the energy above the lowest structure with this stoichiometry, the calculation gives 247.5 meV per atom.

abc: 4.398 4.398 4.398
angles: 60.00 60.00 60.00
Fractional positions:
Be1 0.750 0.750 0.750
Co1 0.000 0.000 0.000
Si1 0.500 0.500 0.500
Y1 0.250 0.250 0.250